# 1
A geometry-optimized Pm2SnSb structure, computed with PBE-GGA.

Properties
Energy above the lowest structure with this stoichiometry ... 1.21 eV per formula unit
Energy ... -5.084 eV/atom
D(E_F) ... 6.586 states/eV/cell
SG ... Fm-3m, No. 225
Calculated volume ... 116.6 Å³/f.u.
E_form (uncorrected) ... -677 meV per atom
Magnetic moment ... 0.00 μB/f.u.

Cell: 5.4833 5.4833 5.4833 Å, 60.00 60.00 60.00°
Fractional coordinates of all 4 atoms:
Pm 0.2500 0.2500 0.2500
Pm 0.7500 0.7500 0.7500
Sn 0.0000 0.0000 0.0000
Sb 0.5000 0.5000 0.5000


# 2
A geometry-optimized CdO structure, computed with PBE-GGA.

Properties
Energy ... -3.944 eV/atom
D(E_F) ... 0.940 states/eV/cell
SG ... R3m, No. 160
Calculated volume ... 34.2 Å³/f.u.
E_form (uncorrected) ... -1008 meV per atom
Magnetic moment ... 0.00 μB/f.u.

Cell: 9.0726 9.0726 9.0726 Å, 23.31 23.31 23.31°
Fractional coordinates of all 6 atoms:
Cd 0.0000 0.0000 0.0000
Cd 0.2220 0.2220 0.2220
Cd 0.4442 0.4442 0.4442
O 0.0845 0.0845 0.0845
O 0.3068 0.3068 0.3068
O 0.5287 0.5287 0.5287


# 3
A geometry-optimized LaTc2TeS structure, computed with PBE-GGA.

Properties
Energy ... -5.094 eV/atom
D(E_F) ... 6.911 states/eV/cell
SG ... P4/mmm, No. 123
Calculated volume ... 135.0 Å³/f.u.
E_form (uncorrected) ... 1491 meV per atom
Magnetic moment ... 3.94 μB/f.u.

Cell: 5.0171 5.0171 5.3650 Å, 90.00 90.00 90.00°
Fractional coordinates of all 5 atoms:
La 0.0000 0.0000 0.0000
Tc 0.0000 0.5000 0.0000
Tc 0.5000 0.0000 0.0000
Te 0.5000 0.5000 0.5000
S 0.0000 0.0000 0.5000


# 4
A geometry-optimized SrLiMg2 structure, computed with PBE-GGA.

Properties
Energy above the lowest structure with this stoichiometry ... 0.00 eV per formula unit
Energy ... -1.735 eV/atom
D(E_F) ... 23.154 states/eV/cell
Formation energy from the elements ... -0.2 eV/f.u.
SG ... Pnma, No. 62
Calculated volume ... 115.5 Å³/f.u.
Magnetic moment ... 0.00 μB/f.u.

Cell: 17.4451 8.6142 6.1489 Å, 90.00 90.00 90.00°
Fractional coordinates of all 32 atoms:
Sr 0.1075 0.2500 0.2504
Sr 0.1375 0.7500 0.0396
Sr 0.3625 0.2500 0.5396
Sr 0.3925 0.7500 0.7504
Sr 0.6075 0.2500 0.2496
Sr 0.6375 0.7500 0.4604
Sr 0.8625 0.2500 0.9604
Sr 0.8925 0.7500 0.7496
Li 0.0695 0.7500 0.5274
Li 0.1873 0.2500 0.7682
Li 0.3127 0.7500 0.2682
Li 0.4305 0.2500 0.0274
Li 0.5695 0.7500 0.9726
Li 0.6873 0.2500 0.7318
Li 0.8127 0.7500 0.2318
Li 0.9305 0.2500 0.4726
Mg 0.0393 0.0587 0.7428
Mg 0.0393 0.4413 0.7428
Mg 0.2128 0.5569 0.5584
Mg 0.2128 0.9431 0.5584
Mg 0.2872 0.0569 0.0584
Mg 0.2872 0.4431 0.0584
Mg 0.4607 0.5587 0.2428
Mg 0.4607 0.9413 0.2428
Mg 0.5393 0.0587 0.7572
Mg 0.5393 0.4413 0.7572
Mg 0.7128 0.5569 0.9416
Mg 0.7128 0.9431 0.9416
Mg 0.7872 0.0569 0.4416
Mg 0.7872 0.4431 0.4416
Mg 0.9607 0.5587 0.2572
Mg 0.9607 0.9413 0.2572


Question: Which of these has the lowest energy?
Answer: LaTc2TeS


Question: What is the energy in the fourth record?
Answer: -1.735 eV/atom